K2Ni | PBE-GGA | relaxed

Cell: 16.9028 7.5562 4.2706 Å, 90.00 90.00 90.00°
Last column: nearest neighbours and their distance in Å.
Space group Cmcm (No. 63)
One atom of each set of equivalent atoms:
K 0.1256 0.2479 0.2500 [8 per cell]  3 Ni 3.09-3.36
Ni 0.0000 0.0500 0.7500 [4 per cell]  2 Ni 2.26

Output
total magnetization: 0.115 μB per atom
E: -2.275 eV/atom
calculated density: 1.667 g/cm3
energy above the most stable polymorph in this dataset: 0.0 meV/atom